Record 1
Density functional theory data (GGA-PBE) for a geometry-optimized ZrAl5Rh6 structure.

Lattice parameters (Å, degrees): 6.749 6.749 6.301 90.00 90.00 143.08
Sites, in units of the cell vectors:
Zr  0.000  0.000  0.000
Al  0.000  0.000  0.500
Al  0.330  0.670  0.000
Al  0.335  0.665  0.500
Al  0.665  0.335  0.500
Al  0.670  0.330  0.000
Rh  0.170  0.830  0.257
Rh  0.170  0.830  0.743
Rh  0.500  0.500  0.263
Rh  0.500  0.500  0.737
Rh  0.830  0.170  0.257
Rh  0.830  0.170  0.743

Properties
Space-group type = Cmmm (65)
Formation energy = -1.028 eV per atom
Magnetization = 0.000 Bohr magnetons per cell

Record 2
Density functional theory data (GGA-PBE) for a geometry-optimized ZrAl2Rh structure.

Lattice parameters (Å, degrees): 5.099 5.099 2.879 93.15 93.15 114.68
Sites, in units of the cell vectors:
Zr  0.000  0.000  0.000
Al  0.000  0.500  0.500
Al  0.500  0.000  0.500
Rh  0.500  0.500  0.000

Properties
Space-group type = C2/m (12)
Formation energy = -0.424 eV per atom
Magnetization = 0.000 Bohr magnetons per cell

Record 3
Density functional theory data (GGA-PBE) for a geometry-optimized ZrAlRh3 structure.

Lattice parameters (Å, degrees): 4.768 4.768 4.768 90.00 90.00 90.00
Sites, in units of the cell vectors:
Zr  0.000  0.000  0.000
Al  0.500  0.500  0.500
Rh  0.000  0.000  0.500
Rh  0.000  0.500  0.000
Rh  0.500  0.000  0.000

Properties
Relative energy among the computed polymorphs = 964.5 meV per atom
Space-group type = Pm-3m (221)
Formation energy = 0.784 eV per atom
Magnetization = 0.000 Bohr magnetons per cell

Q: Look up the magnetization of the first one.
A: 0.000 Bohr magnetons per cell

Q: Among the records above, which one has the highest formation energy?
A: ZrAlRh3

Q: Which value of formation energy does entry 1 give?
A: -1.028 eV per atom